No. 1
# IrRu2Pt

IrRu2Pt after structural relaxation (PBE-GGA, Alexandria).

Cell and atoms, written as POSCAR:
```
IrRu2Pt
1.0
4.7402 0.0000 0.0000
0.0000 2.7344 0.0000
-1.6019 0.0000 4.4652
Ir Ru Pt
1 2 1
direct
0.0000 0.0000 0.0000 Ir
0.5000 0.0000 0.5000 Ru
0.5000 0.5000 0.0000 Ru
0.0000 0.5000 0.5000 Pt
```

Values from the calculation:
The value obtained for the density of states at the Fermi level is 1.209 states/eV/atom. The total energy comes out at -8.30 eV/atom.

=====

No. 2
# IrRu2Pt

IrRu2Pt after structural relaxation (PBE-GGA, Alexandria).

Cell and atoms, written as POSCAR:
```
IrRu2Pt
1.0
5.5547 0.0000 0.0000
0.0000 5.5547 0.0000
0.0000 0.0000 11.1331
Ir Ru Pt
4 8 4
direct
0.0000 0.0000 0.0000 Ir
0.0000 0.5000 0.2500 Ir
0.5000 0.0000 0.7500 Ir
0.5000 0.5000 0.5000 Ir
0.2405 0.2500 0.1250 Ru
0.2500 0.7405 0.3750 Ru
0.2500 0.7595 0.8750 Ru
0.2595 0.2500 0.6250 Ru
0.7405 0.7500 0.6250 Ru
0.7500 0.2405 0.8750 Ru
0.7500 0.2595 0.3750 Ru
0.7595 0.7500 0.1250 Ru
0.0000 0.0000 0.5000 Pt
0.0000 0.5000 0.7500 Pt
0.5000 0.0000 0.2500 Pt
0.5000 0.5000 0.0000 Pt
```

Values from the calculation:
The value obtained for the density of states at the Fermi level is 0.997 states/eV/atom. The total energy comes out at -7.32 eV/atom.

=====

No. 3
# IrRu2Pt

IrRu2Pt after structural relaxation (PBE-GGA, Alexandria).

Cell and atoms, written as POSCAR:
```
IrRu2Pt
1.0
2.7284 0.0000 0.0000
0.0000 3.8867 0.0000
0.0000 0.0000 5.4542
Ir Ru Pt
1 2 1
direct
0.0000 0.0000 0.0000 Ir
0.5000 0.5000 0.2426 Ru
0.5000 0.5000 0.7574 Ru
0.0000 0.0000 0.5000 Pt
```

Values from the calculation:
The value obtained for the density of states at the Fermi level is 1.193 states/eV/atom. The total energy comes out at -8.35 eV/atom.

=====

No. 4
# Ir2Ru3Pt2

Ir2Ru3Pt2 after structural relaxation (PBE-GGA, Alexandria).

Cell and atoms, written as POSCAR:
```
Ir2Ru3Pt2
1.0
11.9377 0.0000 0.0000
0.0000 2.7383 0.0000
-2.5060 0.0000 6.2491
Ir Ru Pt
4 6 4
direct
0.0749 0.0000 0.2270 Ir
0.4251 0.5000 0.7730 Ir
0.5749 0.5000 0.2270 Ir
0.9251 0.0000 0.7730 Ir
0.0000 0.5000 0.5000 Ru
0.2176 0.0000 0.6345 Ru
0.2824 0.5000 0.3655 Ru
0.5000 0.0000 0.5000 Ru
0.7176 0.5000 0.6345 Ru
0.7824 0.0000 0.3655 Ru
0.1402 0.5000 0.9257 Pt
0.3598 0.0000 0.0743 Pt
0.6402 0.0000 0.9257 Pt
0.8598 0.5000 0.0743 Pt
```

Values from the calculation:
The value obtained for the density of states at the Fermi level is 1.047 states/eV/atom. The total energy comes out at -8.23 eV/atom.